[1]
Fe4MoPd5: relaxed, PBE.

Output
E = -0.261 Ha/atom
formation energy = -31 meV per atom

abc: 2.737 2.737 18.949
angles: 90.00 90.00 90.00
Fractional coordinates of all 10 atoms:
Fe 0.000 0.000 0.098
Fe 0.000 0.000 0.294
Fe 0.000 0.000 0.706
Fe 0.000 0.000 0.902
Mo 0.000 0.000 0.500
Pd 0.500 0.500 0.000
Pd 0.500 0.500 0.196
Pd 0.500 0.500 0.393
Pd 0.500 0.500 0.607
Pd 0.500 0.500 0.804

***

[2]
Ca2Ce2Pd15: relaxed, PBE.

Output
E = -0.199 Ha/atom
formation energy = -489 meV per atom

abc: 7.144 7.144 7.144
angles: 81.17 81.17 81.17
Fractional coordinates of all 19 atoms:
Ca 0.134 0.134 0.134
Ca 0.866 0.866 0.866
Ce 0.393 0.393 0.393
Ce 0.607 0.607 0.607
Pd 0.000 0.500 0.500
Pd 0.153 0.153 0.658
Pd 0.153 0.658 0.153
Pd 0.194 0.500 0.806
Pd 0.194 0.806 0.500
Pd 0.342 0.847 0.847
Pd 0.500 0.000 0.500
Pd 0.500 0.194 0.806
Pd 0.500 0.500 0.000
Pd 0.500 0.806 0.194
Pd 0.658 0.153 0.153
Pd 0.806 0.194 0.500
Pd 0.806 0.500 0.194
Pd 0.847 0.342 0.847
Pd 0.847 0.847 0.342

***

[3]
Hf2Si4Tc: relaxed, PBE.

Output
E = -0.264 Ha/atom
E_form (uncorrected) = 0.233 eV per atom

abc: 7.233 7.233 7.233
angles: 142.57 142.57 53.97
Fractional coordinates of all 7 atoms:
Hf 0.112 0.112 0.000
Hf 0.888 0.888 0.000
Si 0.000 0.500 0.500
Si 0.312 0.312 0.000
Si 0.500 0.000 0.500
Si 0.688 0.688 0.000
Tc 0.500 0.500 0.000

***

[4]
LiTiTc2P: relaxed, PBE.

Output
E = -0.215 Ha/atom
formation energy = 1339 meV per atom

abc: 4.498 4.498 4.508
angles: 90.00 90.00 90.00
Fractional coordinates of all 5 atoms:
Li 0.000 0.000 0.000
Ti 0.000 0.000 0.500
Tc 0.000 0.500 0.500
Tc 0.500 0.000 0.500
P 0.500 0.500 0.000

***

[5]
Pa6GeN12: relaxed, PBE.

Output
E = -0.359 Ha/atom
E_form (uncorrected) = -1.261 eV per atom

abc: 6.553 6.553 6.553
angles: 99.25 99.25 99.25
Fractional coordinates of all 19 atoms:
Pa 0.098 0.636 0.791
Pa 0.209 0.902 0.364
Pa 0.364 0.209 0.902
Pa 0.636 0.791 0.098
Pa 0.791 0.098 0.636
Pa 0.902 0.364 0.209
Ge 0.500 0.500 0.500
N 0.063 0.325 0.903
N 0.097 0.937 0.675
N 0.193 0.556 0.440
N 0.325 0.903 0.063
N 0.440 0.193 0.556
N 0.444 0.560 0.807
N 0.556 0.440 0.193
N 0.560 0.807 0.444
N 0.675 0.097 0.937
N 0.807 0.444 0.560
N 0.903 0.063 0.325
N 0.937 0.675 0.097

***

[6]
LaTbCuTc: relaxed, PBE.

Output
E = -0.221 Ha/atom
formation energy = 0 meV per atom

abc: 4.993 4.993 4.993
angles: 60.00 60.00 60.00
Fractional coordinates of all 4 atoms:
La 0.000 0.000 0.000
Tb 0.500 0.500 0.500
Cu 0.250 0.250 0.250
Tc 0.750 0.750 0.750

***

[7]
PRhF: relaxed, PBE.

Output
E = -0.220 Ha/atom
E_form (uncorrected) = -1.103 eV per atom
E above lowest polymorph = 188 meV per atom

abc: 6.596 5.698 7.556
angles: 57.66 46.88 75.46
Fractional coordinates of all 12 atoms:
P 0.232 0.768 0.346
P 0.596 0.904 0.482
P 0.768 0.232 0.654
P 0.904 0.596 0.018
Rh 0.183 0.969 0.562
Rh 0.688 0.964 0.067
Rh 0.964 0.688 0.281
Rh 0.969 0.183 0.286
F 0.224 0.436 0.555
F 0.436 0.224 0.785
F 0.465 0.695 0.814
F 0.695 0.465 0.026

***

[8]
Hf2CdSb: relaxed, PBE.

Output
E = -0.225 Ha/atom
E_form (uncorrected) = 0.101 eV per atom
E above lowest polymorph = 127 meV per atom

abc: 8.281 8.281 8.281
angles: 26.12 26.12 26.12
Fractional coordinates of all 4 atoms:
Hf 0.000 0.000 0.000
Hf 0.178 0.178 0.178
Cd 0.421 0.421 0.421
Sb 0.590 0.590 0.590

***

[9]
ScTlCl2: relaxed, PBE.

Output
E = -0.149 Ha/atom
E_form (uncorrected) = -0.949 eV per atom
E above lowest polymorph = 361 meV per atom

abc: 10.078 10.078 10.078
angles: 21.16 21.16 21.16
Fractional coordinates of all 4 atoms:
Sc 0.000 0.000 0.000
Tl 0.500 0.500 0.500
Cl 0.080 0.080 0.080
Cl 0.920 0.920 0.920

***

[10]
LiNi4H: relaxed, PBE.

Output
E = -0.173 Ha/atom

abc: 4.808 4.808 6.441
angles: 97.91 97.91 125.76
Fractional coordinates of all 12 atoms:
Li 0.090 0.910 0.750
Li 0.910 0.090 0.250
Ni 0.053 0.365 0.652
Ni 0.255 0.496 0.046
Ni 0.365 0.053 0.152
Ni 0.496 0.255 0.546
Ni 0.504 0.745 0.454
Ni 0.635 0.947 0.848
Ni 0.745 0.504 0.954
Ni 0.947 0.635 0.348
H 0.487 0.513 0.750
H 0.513 0.487 0.250

***

[11]
La3Zn2Rh6: relaxed, PBE.

Output
E = -0.225 Ha/atom
formation energy = -546 meV per atom

abc: 8.255 8.255 8.255
angles: 109.47 109.47 109.47
Fractional coordinates of all 22 atoms:
La 0.000 0.295 0.295
La 0.000 0.705 0.705
La 0.295 0.000 0.295
La 0.295 0.295 0.000
La 0.705 0.000 0.705
La 0.705 0.705 0.000
Zn 0.000 0.000 0.500
Zn 0.000 0.500 0.000
Zn 0.500 0.000 0.000
Zn 0.500 0.500 0.500
Rh 0.000 0.345 0.655
Rh 0.000 0.655 0.345
Rh 0.310 0.655 0.655
Rh 0.345 0.000 0.655
Rh 0.345 0.345 0.690
Rh 0.345 0.655 0.000
Rh 0.345 0.690 0.345
Rh 0.655 0.000 0.345
Rh 0.655 0.310 0.655
Rh 0.655 0.345 0.000
Rh 0.655 0.655 0.310
Rh 0.690 0.345 0.345

***

[12]
BaAsAu: relaxed, PBE.

Output
E = -0.108 Ha/atom
formation energy = 337 meV per atom

abc: 5.609 5.609 12.960
angles: 90.00 90.00 120.00
Fractional coordinates of all 6 atoms:
Ba 0.000 0.000 0.250
Ba 0.000 0.000 0.750
As 0.000 0.000 0.000
As 0.000 0.000 0.500
Au 0.333 0.667 0.250
Au 0.667 0.333 0.750